Entry 1:
{
  "formula": "KTaAg2",
  "functional": "meta-GGA SCAN",
  "state": "single point on PBEsol structure",
  "e_form_kcal_per_mol_atoms": 14.0,
  "magmom_total_mub_per_fu": 0.000,
  "lattice_angstrom": [[-2.560, 0.133, 0.998], [1.271, -4.565, 0.078], [2.715, 1.384, 6.779]],
  "species": ["Ag", "Ag", "K", "Ta"],
  "fractional_positions": [[0.744, 0.488, 0.675], [0.256, 0.512, 0.325], [0.500, 0.000, 0.000], [0.000, 0.000, 0.500]]
}

***

Entry 2:
{
  "formula": "KSr2Fe",
  "functional": "meta-GGA SCAN",
  "state": "single point on PBEsol structure",
  "e_form_kcal_per_mol_atoms": 9.6,
  "magmom_total_mub_per_fu": 2.262,
  "lattice_angstrom": [[3.802, 0.071, 0.000], [-0.069, 3.802, 0.000], [0.000, 0.000, 10.894]],
  "species": ["Fe", "K", "Sr", "Sr"],
  "fractional_positions": [[0.500, 0.500, 0.500], [0.500, 0.500, 0.000], [0.000, 0.000, 0.335], [0.000, 0.000, 0.665]]
}